<w>
A relaxed structure of UTaPt, computed with PBE-GGA.

a b c (Å): 4.5588 4.5588 4.5588
angles (deg): 60.00 60.00 60.00
Last column: nearest neighbours and their distance in Å.
Sites, in units of the cell vectors:
1 Pt 0.2500 0.2500 0.2500  4 U 2.79
2 Ta 0.7500 0.7500 0.7500  4 U 2.79
3 U 0.0000 0.0000 0.0000  4 Pt 2.79, 4 Ta 2.79

Results
- crystal system = cubic
- total moment (μB per atom) = 0.464
- theoretical density (kg/m³) = 15220
- space group = F-43m (216)

<x>
A relaxed structure of UTaPt, computed with PBE-GGA.

a b c (Å): 4.5874 4.5874 4.5874
angles (deg): 60.00 60.00 60.00
Last column: nearest neighbours and their distance in Å.
Sites, in units of the cell vectors:
1 Pt 0.0000 0.0000 0.0000  4 U 2.81, 4 Ta 2.81
2 Ta 0.2500 0.2500 0.2500  4 Pt 2.81
3 U 0.7500 0.7500 0.7500  4 Pt 2.81

Results
- crystal system = cubic
- total moment (μB per atom) = 0.924
- theoretical density (kg/m³) = 14937
- space group = F-43m (216)

Of them, <w> has the lowest stability.

<w>
A relaxed structure of TcPt, computed with PBE-GGA.

a b c (Å): 2.7647 2.7647 4.4833
angles (deg): 90.00 90.00 120.00
Last column: nearest neighbours and their distance in Å.
Sites, in units of the cell vectors:
1 Pt 0.6667 0.3333 0.7500  6 Tc 2.75, 6 Pt 2.76
2 Tc 0.3333 0.6667 0.2500  6 Pt 2.75, 6 Tc 2.76

Results
- crystal system = hexagonal
- total moment (μB per atom) = 0.001
- theoretical density (kg/m³) = 16399
- space group = P-6m2 (187)

<x>
A relaxed structure of TcPt, computed with PBE-GGA.

a b c (Å): 4.0497 4.0497 4.9140
angles (deg): 90.00 90.00 120.00
Last column: nearest neighbours and their distance in Å.
Sites, in units of the cell vectors:
1 Pt 0.3333 0.6667 0.2500  6 Tc 2.64
2 Pt 0.6667 0.3333 0.7500  6 Tc 2.64
3 Tc 0.0000 0.0000 0.0000  2 Tc 2.46, 6 Pt 2.64
4 Tc 0.0000 0.0000 0.5000  2 Tc 2.46, 6 Pt 2.64

Results
- crystal system = hexagonal
- total moment (μB per atom) = 0.002
- theoretical density (kg/m³) = 13946
- space group = P6_3/mmc (194)

Of them, <x> has the lowest stability.

<w>
A relaxed structure of TcPt2, computed with PBE-GGA.

a b c (Å): 7.6580 7.6580 7.6580
angles (deg): 60.00 60.00 60.00
Last column: nearest neighbours and their distance in Å.
Sites, in units of the cell vectors:
1 Pt 0.8750 0.3750 0.3750  2 Tc 2.34
2 Pt 0.3750 0.8750 0.3750  2 Tc 2.34
3 Pt 0.3750 0.3750 0.3750  2 Tc 2.34
4 Pt 0.3750 0.3750 0.8750  2 Tc 2.34
5 Tc 0.2500 0.2500 0.2500  4 Pt 2.34
6 Tc 0.5000 0.5000 0.5000  4 Pt 2.34

Results
- crystal system = cubic
- total moment (μB per atom) = 0.005
- theoretical density (kg/m³) = 5105
- space group = Fd-3m (227)

<x>
A relaxed structure of TcPt2, computed with PBE-GGA.

a b c (Å): 5.1423 5.1423 5.1423
angles (deg): 60.00 60.00 60.00
Last column: nearest neighbours and their distance in Å.
Sites, in units of the cell vectors:
1 Pt 0.6250 0.6250 0.1250  6 Pt 2.57
2 Pt 0.6250 0.1250 0.6250  6 Pt 2.57
3 Pt 0.1250 0.6250 0.6250  6 Pt 2.57
4 Pt 0.6250 0.6250 0.6250  6 Pt 2.57
5 Tc 0.0000 0.0000 0.0000  12 Pt 3.01, 4 Tc 3.15
6 Tc 0.2500 0.2500 0.2500  12 Pt 3.01, 4 Tc 3.15

Results
- crystal system = cubic
- total moment (μB per atom) = 0.117
- theoretical density (kg/m³) = 16861
- space group = Fd-3m (227)

Of them, <w> has the lowest stability.

<w>
A relaxed structure of Tc2Pt, computed with PBE-GGA.

a b c (Å): 8.1087 8.1087 8.1087
angles (deg): 60.00 60.00 60.00
Last column: nearest neighbours and their distance in Å.
Sites, in units of the cell vectors:
1 Pt 0.1250 0.1250 0.1250  4 Tc 2.48
2 Pt 0.8750 0.8750 0.8750  4 Tc 2.48
3 Tc 0.0000 0.0000 0.0000  2 Pt 2.48
4 Tc 0.5000 0.0000 0.0000  2 Pt 2.48
5 Tc 0.0000 0.5000 0.0000  2 Pt 2.48
6 Tc 0.0000 0.0000 0.5000  2 Pt 2.48

Results
- crystal system = cubic
- total moment (μB per atom) = 2.657
- theoretical density (kg/m³) = 3445
- space group = Fd-3m (227)

<x>
A relaxed structure of Tc2Pt, computed with PBE-GGA.

a b c (Å): 5.0811 5.0811 5.0811
angles (deg): 60.00 60.00 60.00
Last column: nearest neighbours and their distance in Å.
Sites, in units of the cell vectors:
1 Pt 0.0000 0.0000 0.0000  12 Tc 2.98, 4 Pt 3.11
2 Pt 0.2500 0.2500 0.2500  12 Tc 2.98, 4 Pt 3.11
3 Tc 0.6250 0.6250 0.1250  6 Tc 2.54
4 Tc 0.6250 0.1250 0.6250  6 Tc 2.54
5 Tc 0.1250 0.6250 0.6250  6 Tc 2.54
6 Tc 0.6250 0.6250 0.6250  6 Tc 2.54

Results
- crystal system = cubic
- total moment (μB per atom) = 0.002
- theoretical density (kg/m³) = 14002
- space group = Fd-3m (227)

Of them, <w> has the lowest stability.

<w>
A relaxed structure of TmTcPt, computed with PBE-GGA.

a b c (Å): 4.4959 4.4959 4.4959
angles (deg): 60.00 60.00 60.00
Last column: nearest neighbours and their distance in Å.
Sites, in units of the cell vectors:
1 Pt 0.2500 0.2500 0.2500  4 Tm 2.75
2 Tc 0.7500 0.7500 0.7500  4 Tm 2.75
3 Tm 0.0000 0.0000 0.0000  4 Tc 2.75, 4 Pt 2.75

Results
- crystal system = cubic
- total moment (μB per atom) = 0.766
- theoretical density (kg/m³) = 11939
- space group = F-43m (216)

<x>
A relaxed structure of TmTcPt, computed with PBE-GGA.

a b c (Å): 4.5161 4.5161 4.5161
angles (deg): 60.00 60.00 60.00
Last column: nearest neighbours and their distance in Å.
Sites, in units of the cell vectors:
1 Pt 0.0000 0.0000 0.0000  4 Tm 2.77, 4 Tc 2.77
2 Tc 0.2500 0.2500 0.2500  4 Pt 2.77
3 Tm 0.7500 0.7500 0.7500  4 Pt 2.77

Results
- crystal system = cubic
- total moment (μB per atom) = 0.751
- theoretical density (kg/m³) = 11780
- space group = F-43m (216)

Of them, <w> has the lowest stability.